# 1
BaHgAsBr2 | PBE | optimized geometry

As for the electronic total energy: -0.0940 hartree per atom. Its energy above the most stable polymorph in this dataset is 0.106 eV/atom. The formation energy from raw total energies is -0.51 eV per atom.

It has space group P4/mmm (No. 123), with a = 6.2413 Å, b = 6.2413 Å, c = 7.6570 Å, α = 90.00°, β = 90.00° and γ = 90.00°. The asymmetric unit holds Ba at (0.0000, 0.0000, 0.0000), Hg at (0.5000, 0.5000, 0.5000), As at (0.0000, 0.0000, 0.5000) and Br at (0.0000, 0.5000, 0.0000).

***

# 2
BaHgAsBr2 | PBE | optimized geometry

As for the electronic total energy: -0.0979 hartree per atom. Its energy above the most stable polymorph in this dataset is 0.000 eV/atom. The formation energy from raw total energies is -0.62 eV per atom.

It has space group P4/mmm (No. 123), with a = 5.7983 Å, b = 5.7983 Å, c = 5.2117 Å, α = 90.00°, β = 90.00° and γ = 90.00°. The asymmetric unit holds Ba at (0.0000, 0.0000, 0.0000), Hg at (0.5000, 0.5000, 0.5000), As at (0.5000, 0.5000, 0.0000) and Br at (0.0000, 0.5000, 0.5000).

***

# 3
BaHgAs2Br | PBE | optimized geometry

As for the electronic total energy: -0.1069 hartree per atom. Its energy above the most stable polymorph in this dataset is 0.000 eV/atom. The formation energy from raw total energies is -0.27 eV per atom.

It has space group P4/mmm (No. 123), with a = 5.1643 Å, b = 5.1643 Å, c = 6.3043 Å, α = 90.00°, β = 90.00° and γ = 90.00°. The asymmetric unit holds Ba at (0.0000, 0.0000, 0.0000), Hg at (0.5000, 0.5000, 0.5000), As at (0.0000, 0.5000, 0.5000) and Br at (0.5000, 0.5000, 0.0000).

***

# 4
BaAs2IBr | PBE | optimized geometry

As for the electronic total energy: -0.0941 hartree per atom. Its energy above the most stable polymorph in this dataset is 0.355 eV/atom. The formation energy from raw total energies is 0.33 eV per atom.

It has space group P4/mmm (No. 123), with a = 6.7209 Å, b = 6.7209 Å, c = 6.0461 Å, α = 90.00°, β = 90.00° and γ = 90.00°. The asymmetric unit holds Ba at (0.0000, 0.0000, 0.0000), As at (0.0000, 0.5000, 0.0000), I at (0.5000, 0.5000, 0.5000) and Br at (0.0000, 0.0000, 0.5000).

***

# 5
Ba8As3I4Br | PBE | optimized geometry

As for the electronic total energy: -0.1399 hartree per atom. The formation energy from raw total energies is -1.48 eV per atom.

It has space group R-3m (No. 166, hexagonal axes), with a = 9.6837 Å, b = 9.6837 Å, c = 24.7824 Å, α = 90.00°, β = 90.00° and γ = 120.00°. The asymmetric unit holds Ba at (0.0000, 0.0000, 0.2364), Ba at (0.0156, 0.5078, 0.7622), As at (0.0000, 0.5000, 0.5000), I at (0.0000, 0.0000, 0.0000), I at (0.0000, 0.5000, 0.0000) and Br at (0.0000, 0.0000, 0.5000).

***

# 6
BaAs2IBr | PBE | optimized geometry

As for the electronic total energy: -0.1072 hartree per atom. Its energy above the most stable polymorph in this dataset is 0.000 eV/atom. The formation energy from raw total energies is -0.03 eV per atom.

It has space group P4/mmm (No. 123), with a = 5.3290 Å, b = 5.3290 Å, c = 6.6946 Å, α = 90.00°, β = 90.00° and γ = 90.00°. The asymmetric unit holds Ba at (0.0000, 0.0000, 0.0000), As at (0.0000, 0.5000, 0.5000), I at (0.5000, 0.5000, 0.5000) and Br at (0.5000, 0.5000, 0.0000).

***

Q: What is the formation energy from raw total energies in the fourth record?
A: 0.33 eV per atom

***

Please write out number 2 again, unchanged.
BaHgAsBr2 | PBE | optimized geometry

As for the electronic total energy: -0.0979 hartree per atom. Its energy above the most stable polymorph in this dataset is 0.000 eV/atom. The formation energy from raw total energies is -0.62 eV per atom.

It has space group P4/mmm (No. 123), with a = 5.7983 Å, b = 5.7983 Å, c = 5.2117 Å, α = 90.00°, β = 90.00° and γ = 90.00°. The asymmetric unit holds Ba at (0.0000, 0.0000, 0.0000), Hg at (0.5000, 0.5000, 0.5000), As at (0.5000, 0.5000, 0.0000) and Br at (0.0000, 0.5000, 0.5000).